(1)
# CsBa2Al2 (GGA-PBE, relaxed)
data_CsBa2Al2
_chemical_formula_sum 'Cs2 Ba4 Al4'
_cell_length_a 9.506
_cell_length_b 9.506
_cell_length_c 5.011
_cell_angle_alpha 90.00
_cell_angle_beta 90.00
_cell_angle_gamma 90.00
_space_group_name_H-M_alt 'P 4/m b m'
_space_group_IT_number 127
_space_group_name_Hall '-P 4 2ab'
loop_
_atom_site_label
_atom_site_type_symbol
_atom_site_fract_x
_atom_site_fract_y
_atom_site_fract_z
Cs1 Cs 0.000 0.000 0.000
Ba1 Ba 0.170 0.330 0.500
Al1 Al 0.097 0.597 0.000
# Energy above the most stable polymorph in this dataset (kJ/mol of formula units): 0
# ΔH_f (0 K) (eV per atom): 0.103

=====

(2)
# CsBa2Al2 (GGA-PBE, relaxed)
data_CsBa2Al2
_chemical_formula_sum 'Cs2 Ba4 Al4'
_cell_length_a 4.104
_cell_length_b 4.104
_cell_length_c 28.509
_cell_angle_alpha 90.00
_cell_angle_beta 90.00
_cell_angle_gamma 90.00
_space_group_name_H-M_alt 'I 4/m m m'
_space_group_IT_number 139
_space_group_name_Hall '-I 4 2'
loop_
_atom_site_label
_atom_site_type_symbol
_atom_site_fract_x
_atom_site_fract_y
_atom_site_fract_z
Cs1 Cs 0.000 0.000 0.000
Ba1 Ba 0.000 0.000 0.351
Al1 Al 0.000 0.500 0.250
# Energy above the most stable polymorph in this dataset (kJ/mol of formula units): 40
# ΔH_f (0 K) (eV per atom): 0.185

=====

(3)
# CsBaAl3 (GGA-PBE, relaxed)
data_CsBaAl3
_chemical_formula_sum 'Cs1 Ba1 Al3'
_cell_length_a 5.918
_cell_length_b 5.918
_cell_length_c 5.918
_cell_angle_alpha 90.00
_cell_angle_beta 90.00
_cell_angle_gamma 90.00
_space_group_name_H-M_alt 'P m -3 m'
_space_group_IT_number 221
_space_group_name_Hall '-P 4 2 3'
loop_
_atom_site_label
_atom_site_type_symbol
_atom_site_fract_x
_atom_site_fract_y
_atom_site_fract_z
Cs1 Cs 0.000 0.000 0.000
Ba1 Ba 0.500 0.500 0.500
Al1 Al 0.000 0.000 0.500
# Energy above the most stable polymorph in this dataset (kJ/mol of formula units): 71
# ΔH_f (0 K) (eV per atom): 1.107